No. 1
VASP calculation (PBE) on crystalline BaNd2Zn6 at its relaxed geometry.

Structure (CIF):
```
data_BaNd2Zn6
_space_group_name_H-M_alt 'P 6/m m m'
_space_group_IT_number 191
_space_group_name_Hall '-P 6 2'
_cell_length_a 8.1076
_cell_length_b 8.1076
_cell_length_c 3.7289
_cell_angle_alpha 90.00
_cell_angle_beta 90.00
_cell_angle_gamma 120.00
loop_
_atom_site_label
_atom_site_type_symbol
_atom_site_fract_x
_atom_site_fract_y
_atom_site_fract_z
_atom_site_occupancy
Ba1 Ba 0.0000 0.0000 0.0000 1
Nd1 Nd 0.3333 0.6667 0.0000 1
Zn1 Zn 0.0000 0.3421 0.5000 1
```

Values from the calculation:
Volume (Å³/cell): 212



No. 2
VASP calculation (PBE) on crystalline BaNdZn2 at its relaxed geometry.

Structure (CIF):
```
data_BaNdZn2
_space_group_name_H-M_alt 'P 4/m m m'
_space_group_IT_number 123
_space_group_name_Hall '-P 4 2'
_cell_length_a 3.8689
_cell_length_b 3.8689
_cell_length_c 7.8314
_cell_angle_alpha 90.00
_cell_angle_beta 90.00
_cell_angle_gamma 90.00
loop_
_atom_site_label
_atom_site_type_symbol
_atom_site_fract_x
_atom_site_fract_y
_atom_site_fract_z
_atom_site_occupancy
Ba1 Ba 0.0000 0.0000 0.0000 1
Nd1 Nd 0.0000 0.0000 0.5000 1
Zn1 Zn 0.5000 0.5000 0.2976 1
```

Values from the calculation:
Volume (Å³/cell): 117
Energy relative to the lowest polymorph listed for this composition (meV per atom): 0



No. 3
VASP calculation (PBE) on crystalline BaNdZn2 at its relaxed geometry.

Structure (CIF):
```
data_BaNdZn2
_space_group_name_H-M_alt 'F m -3 m'
_space_group_IT_number 225
_space_group_name_Hall '-F 4 2 3'
_cell_length_a 7.7678
_cell_length_b 7.7678
_cell_length_c 7.7678
_cell_angle_alpha 90.00
_cell_angle_beta 90.00
_cell_angle_gamma 90.00
loop_
_atom_site_label
_atom_site_type_symbol
_atom_site_fract_x
_atom_site_fract_y
_atom_site_fract_z
_atom_site_occupancy
Ba1 Ba 0.0000 0.0000 0.0000 1
Nd1 Nd 0.0000 0.0000 0.5000 1
Zn1 Zn 0.2500 0.2500 0.2500 1
```

Values from the calculation:
Volume (Å³/cell): 469
Energy relative to the lowest polymorph listed for this composition (meV per atom): 88



No. 4
VASP calculation (PBE) on crystalline BaNdZn2 at its relaxed geometry.

Structure (CIF):
```
data_BaNdZn2
_space_group_name_H-M_alt 'R -3 m'
_space_group_IT_number 166
_space_group_name_Hall '-R 3 2"'
_cell_length_a 4.0547
_cell_length_b 4.0547
_cell_length_c 27.5020
_cell_angle_alpha 90.00
_cell_angle_beta 90.00
_cell_angle_gamma 120.00
loop_
_atom_site_label
_atom_site_type_symbol
_atom_site_fract_x
_atom_site_fract_y
_atom_site_fract_z
_atom_site_occupancy
Ba1 Ba 0.0000 0.0000 0.0000 1
Nd1 Nd 0.0000 0.0000 0.5000 1
Zn1 Zn 0.0000 0.0000 0.2409 1
```

Values from the calculation:
Volume (Å³/cell): 392
Energy relative to the lowest polymorph listed for this composition (meV per atom): 231



No. 5
VASP calculation (PBE) on crystalline Ba3NdZn4 at its relaxed geometry.

Structure (CIF):
```
data_Ba3NdZn4
_space_group_name_H-M_alt 'P 4/m m m'
_space_group_IT_number 123
_space_group_name_Hall '-P 4 2'
_cell_length_a 3.9684
_cell_length_b 3.9684
_cell_length_c 16.1435
_cell_angle_alpha 90.00
_cell_angle_beta 90.00
_cell_angle_gamma 90.00
loop_
_atom_site_label
_atom_site_type_symbol
_atom_site_fract_x
_atom_site_fract_y
_atom_site_fract_z
_atom_site_occupancy
Ba1 Ba 0.0000 0.0000 0.0000 1
Ba2 Ba 0.0000 0.0000 0.2624 1
Nd1 Nd 0.0000 0.0000 0.5000 1
Zn1 Zn 0.5000 0.5000 0.1306 1
Zn2 Zn 0.5000 0.5000 0.4043 1
```

Values from the calculation:
Volume (Å³/cell): 254



No. 6
VASP calculation (PBE) on crystalline BaNd4Zn5 at its relaxed geometry.

Structure (CIF):
```
data_BaNd4Zn5
_space_group_name_H-M_alt 'P 4/m m m'
_space_group_IT_number 123
_space_group_name_Hall '-P 4 2'
_cell_length_a 3.7426
_cell_length_b 3.7426
_cell_length_c 18.9869
_cell_angle_alpha 90.00
_cell_angle_beta 90.00
_cell_angle_gamma 90.00
loop_
_atom_site_label
_atom_site_type_symbol
_atom_site_fract_x
_atom_site_fract_y
_atom_site_fract_z
_atom_site_occupancy
Ba1 Ba 0.0000 0.0000 0.0000 1
Nd1 Nd 0.0000 0.0000 0.2137 1
Nd2 Nd 0.0000 0.0000 0.4046 1
Zn1 Zn 0.5000 0.5000 0.1237 1
Zn2 Zn 0.5000 0.5000 0.3084 1
Zn3 Zn 0.5000 0.5000 0.5000 1
```

Values from the calculation:
Volume (Å³/cell): 266



No. 7
VASP calculation (PBE) on crystalline Ba4Ni at its relaxed geometry.

Structure (CIF):
```
data_Ba4Ni
_space_group_name_H-M_alt 'P m -3 m'
_space_group_IT_number 221
_space_group_name_Hall '-P 4 2 3'
_cell_length_a 6.3442
_cell_length_b 6.3442
_cell_length_c 6.3442
_cell_angle_alpha 90.00
_cell_angle_beta 90.00
_cell_angle_gamma 90.00
loop_
_atom_site_label
_atom_site_type_symbol
_atom_site_fract_x
_atom_site_fract_y
_atom_site_fract_z
_atom_site_occupancy
Ba1 Ba 0.0000 0.0000 0.0000 1
Ba2 Ba 0.0000 0.5000 0.5000 1
Ni1 Ni 0.5000 0.5000 0.5000 1
```

Values from the calculation:
Volume (Å³/cell): 255
Energy relative to the lowest polymorph listed for this composition (meV per atom): 34



No. 8
VASP calculation (PBE) on crystalline Ba5Ni4 at its relaxed geometry.

Structure (CIF):
```
data_Ba5Ni4
_space_group_name_H-M_alt 'P 63/m c m'
_space_group_IT_number 193
_space_group_name_Hall '-P 6c 2'
_cell_length_a 9.1649
_cell_length_b 9.1649
_cell_length_c 7.8955
_cell_angle_alpha 90.00
_cell_angle_beta 90.00
_cell_angle_gamma 120.00
loop_
_atom_site_label
_atom_site_type_symbol
_atom_site_fract_x
_atom_site_fract_y
_atom_site_fract_z
_atom_site_occupancy
Ba1 Ba 0.0000 0.2542 0.2500 1
Ba2 Ba 0.3333 0.6667 0.0000 1
Ni1 Ni 0.0000 0.0000 0.0000 1
Ni2 Ni 0.0000 0.4032 0.7500 1
```

Values from the calculation:
Volume (Å³/cell): 574
Energy relative to the lowest polymorph listed for this composition (meV per atom): 0



No. 9
VASP calculation (PBE) on crystalline BaNi4 at its relaxed geometry.

Structure (CIF):
```
data_BaNi4
_space_group_name_H-M_alt 'P m -3 m'
_space_group_IT_number 221
_space_group_name_Hall '-P 4 2 3'
_cell_length_a 4.8439
_cell_length_b 4.8439
_cell_length_c 4.8439
_cell_angle_alpha 90.00
_cell_angle_beta 90.00
_cell_angle_gamma 90.00
loop_
_atom_site_label
_atom_site_type_symbol
_atom_site_fract_x
_atom_site_fract_y
_atom_site_fract_z
_atom_site_occupancy
Ba1 Ba 0.0000 0.0000 0.0000 1
Ni1 Ni 0.0000 0.0000 0.5000 1
Ni2 Ni 0.5000 0.5000 0.5000 1
```

Values from the calculation:
Volume (Å³/cell): 114
Energy relative to the lowest polymorph listed for this composition (meV per atom): 447



No. 10
VASP calculation (PBE) on crystalline Ba4Ni5 at its relaxed geometry.

Structure (CIF):
```
data_Ba4Ni5
_space_group_name_H-M_alt 'P 63/m c m'
_space_group_IT_number 193
_space_group_name_Hall '-P 6c 2'
_cell_length_a 9.1833
_cell_length_b 9.1833
_cell_length_c 6.4827
_cell_angle_alpha 90.00
_cell_angle_beta 90.00
_cell_angle_gamma 120.00
loop_
_atom_site_label
_atom_site_type_symbol
_atom_site_fract_x
_atom_site_fract_y
_atom_site_fract_z
_atom_site_occupancy
Ba1 Ba 0.0000 0.0000 0.0000 1
Ba2 Ba 0.0000 0.3815 0.2500 1
Ni1 Ni 0.0000 0.2955 0.7500 1
Ni2 Ni 0.3333 0.6667 0.0000 1
```

Values from the calculation:
Volume (Å³/cell): 473



No. 11
VASP calculation (PBE) on crystalline Ba5Ni3 at its relaxed geometry.

Structure (CIF):
```
data_Ba5Ni3
_space_group_name_H-M_alt 'C m m m'
_space_group_IT_number 65
_space_group_name_Hall '-C 2 2'
_cell_length_a 8.8241
_cell_length_b 13.2702
_cell_length_c 4.8947
_cell_angle_alpha 90.00
_cell_angle_beta 90.00
_cell_angle_gamma 90.00
loop_
_atom_site_label
_atom_site_type_symbol
_atom_site_fract_x
_atom_site_fract_y
_atom_site_fract_z
_atom_site_occupancy
Ba1 Ba 0.0000 0.0000 0.0000 1
Ba2 Ba 0.2010 0.5000 0.5000 1
Ba3 Ba 0.2500 0.2500 0.0000 1
Ni1 Ni 0.0000 0.1581 0.5000 1
Ni2 Ni 0.0000 0.5000 0.0000 1
```

Values from the calculation:
Volume (Å³/cell): 573



No. 12
VASP calculation (PBE) on crystalline BaNi5 at its relaxed geometry.

Structure (CIF):
```
data_BaNi5
_space_group_name_H-M_alt 'C 1 2/m 1'
_space_group_IT_number 12
_space_group_name_Hall '-C 2y'
_cell_length_a 10.7325
_cell_length_b 3.4055
_cell_length_c 5.7302
_cell_angle_alpha 90.00
_cell_angle_beta 112.71
_cell_angle_gamma 90.00
loop_
_atom_site_label
_atom_site_type_symbol
_atom_site_fract_x
_atom_site_fract_y
_atom_site_fract_z
_atom_site_occupancy
Ba1 Ba 0.0000 0.0000 0.0000 1
Ni1 Ni 0.0000 0.0000 0.5000 1
Ni2 Ni 0.1757 0.5000 0.5243 1
Ni3 Ni 0.2303 0.0000 0.8366 1
```

Values from the calculation:
Volume (Å³/cell): 193



Number 1: DFT formation energy -252 meV/atom, total DFT energy (no corrections) -0.174 Ry per atom, D(E_F) 0.82 states/eV/atom. Number 2: DFT formation energy -215 meV/atom, total DFT energy (no corrections) -0.186 Ry per atom, D(E_F) 0.90 states/eV/atom. Number 3: DFT formation energy -127 meV/atom, total DFT energy (no corrections) -0.179 Ry per atom, D(E_F) 0.61 states/eV/atom. Number 4: DFT formation energy 16 meV/atom, total DFT energy (no corrections) -0.169 Ry per atom, D(E_F) 1.19 states/eV/atom. Number 5: DFT formation energy -182 meV/atom, total DFT energy (no corrections) -0.157 Ry per atom, D(E_F) 0.68 states/eV/atom. Number 6: DFT formation energy -266 meV/atom, total DFT energy (no corrections) -0.221 Ry per atom, D(E_F) 0.99 states/eV/atom. Number 7: DFT formation energy 32 meV/atom, total DFT energy (no corrections) -0.196 Ry per atom, D(E_F) 0.93 states/eV/atom. Number 8: DFT formation energy 238 meV/atom, total DFT energy (no corrections) -0.250 Ry per atom, D(E_F) 0.75 states/eV/atom. Number 9: DFT formation energy 2139 meV/atom, total DFT energy (no corrections) -0.211 Ry per atom, D(E_F) 2.43 states/eV/atom. Number 10: DFT formation energy 525 meV/atom, total DFT energy (no corrections) -0.260 Ry per atom, D(E_F) 1.63 states/eV/atom. Number 11: DFT formation energy 266 meV/atom, total DFT energy (no corrections) -0.228 Ry per atom, D(E_F) 1.09 states/eV/atom. Number 12: DFT formation energy 337 meV/atom, total DFT energy (no corrections) -0.353 Ry per atom, D(E_F) 1.71 states/eV/atom.